FePdRh2O6 (PBE+U, relaxed); electronic total energy = -6.263 eV/atom; Fermi-level density of states = 5.10 states/eV/f.u.
1.0
5.2164 0.0005 0.0007
2.6086 4.5168 0.0003
2.6087 1.5059 4.7141
Fe Pd Rh O
1 1 2 6
Direct
0.8130 0.8131 0.5607 Fe
0.3175 0.3175 0.0474 Pd
0.5160 0.5161 0.4519 Rh
0.0127 0.0127 0.9620 Rh
0.6203 0.2139 0.2562 O
0.2140 0.9097 0.2560 O
0.9097 0.6202 0.2561 O
0.4191 0.7287 0.7416 O
0.7286 0.1105 0.7418 O
0.1105 0.4192 0.7416 O